# 1
The following is a PBE calculation of a relaxed HoPaO4 crystal, from Alexandria via LeMat-Bulk.

## Properties
Formation energy from raw total energies = -22.4 eV per formula unit
Total energy = -9.3834 eV per atom
D(E_F) = 0.000 states/eV per cell
Spin magnetization = 0.00 μB/atom
Calculated density = 9.8 g/cm3

CIF file:
```
data_HoPaO4
_chemical_formula_sum 'Ho1 Pa1 O4'
_space_group_name_H-M_alt 'P 4/m m m'
_space_group_IT_number 123
_space_group_name_Hall '-P 4 2'
_cell_length_a 3.803
_cell_length_b 3.803
_cell_length_c 5.376
_cell_angle_alpha 90.00
_cell_angle_beta 90.00
_cell_angle_gamma 90.00
loop_
_atom_site_label
_atom_site_fract_x
_atom_site_fract_y
_atom_site_fract_z
Ho1 0.000 0.000 0.000
Pa1 0.500 0.500 0.500
O1 0.000 0.500 0.259
```

=====

# 2
The following is a PBE calculation of a relaxed HoPaPbO6 crystal, from Alexandria via LeMat-Bulk.

## Properties
Formation energy from raw total energies = -23.5 eV per formula unit
Total energy = -7.8948 eV per atom
D(E_F) = 0.000 states/eV per cell
Spin magnetization = 0.00 μB/atom
Calculated density = 8.7 g/cm3

CIF file:
```
data_HoPaPbO6
_chemical_formula_sum 'Ho1 Pa1 Pb1 O6'
_space_group_name_H-M_alt 'P 3 1 2'
_space_group_IT_number 149
_cell_length_a 5.6336
_cell_length_b 5.6336
_cell_length_c 4.8628
_cell_angle_alpha 90.00
_cell_angle_beta 90.00
_cell_angle_gamma 120.00
loop_
_space_group_symop_operation_xyz
'x,y,z'
'-y,x-y,z'
'-x+y,-x,z'
'-y,-x,-z'
'-x+y,y,-z'
'x,x-y,-z'
loop_
_atom_site_label
_atom_site_fract_x
_atom_site_fract_y
_atom_site_fract_z
Ho1 0.0000 0.0000 0.0000
Pa1 0.6667 0.3333 0.5000
Pb1 0.3333 0.6667 0.0000
O1 0.3452 0.0056 0.2458
```

=====

# 3
The following is a PBE calculation of a relaxed HoPaPd2O8 crystal, from Alexandria via LeMat-Bulk.

## Properties
Formation energy from raw total energies = -20.4 eV per formula unit
Total energy = -7.0454 eV per atom
D(E_F) = 2.615 states/eV per cell
Spin magnetization = 0.00 μB/atom
Calculated density = 7.1 g/cm3

CIF file:
```
data_HoPaPd2O8
_chemical_formula_sum 'Ho2 Pa2 Pd4 O16'
_space_group_name_H-M_alt 'I -4 m 2'
_space_group_IT_number 119
_space_group_name_Hall 'I -4 -2'
_cell_length_a 7.063
_cell_length_b 7.063
_cell_length_c 6.938
_cell_angle_alpha 90.00
_cell_angle_beta 90.00
_cell_angle_gamma 90.00
loop_
_atom_site_label
_atom_site_fract_x
_atom_site_fract_y
_atom_site_fract_z
Ho1 0.000 0.000 0.000
Pa1 0.000 0.500 0.750
Pd1 0.000 0.000 0.500
Pd2 0.000 0.500 0.250
O1 0.000 0.181 0.713
O2 0.000 0.326 0.033
```

=====

# 4
The following is a PBE calculation of a relaxed HoPaPdO6 crystal, from Alexandria via LeMat-Bulk.

## Properties
Formation energy from raw total energies = -22.0 eV per formula unit
Total energy = -7.8928 eV per atom
Spin magnetization = 0.00 μB/atom
Calculated density = 8.1 g/cm3

CIF file:
```
data_HoPaPdO6
_chemical_formula_sum 'Ho1 Pa1 Pd1 O6'
_space_group_name_H-M_alt 'P 3 1 2'
_space_group_IT_number 149
_cell_length_a 5.3749
_cell_length_b 5.3749
_cell_length_c 4.8929
_cell_angle_alpha 90.00
_cell_angle_beta 90.00
_cell_angle_gamma 120.00
loop_
_space_group_symop_operation_xyz
'x,y,z'
'-y,x-y,z'
'-x+y,-x,z'
'-y,-x,-z'
'-x+y,y,-z'
'x,x-y,-z'
loop_
_atom_site_label
_atom_site_fract_x
_atom_site_fract_y
_atom_site_fract_z
Ho1 0.0000 0.0000 0.0000
Pa1 0.6667 0.3333 0.5000
Pd1 0.3333 0.6667 0.0000
O1 0.0125 0.3609 0.2406
```

=====

# 5
The following is a PBE calculation of a relaxed HoPuPaO6 crystal, from Alexandria via LeMat-Bulk.

## Properties
Formation energy from raw total energies = -29.8 eV per formula unit
Total energy = -9.7733 eV per atom
D(E_F) = 9.030 states/eV per cell
Spin magnetization = 0.44 μB/atom
Calculated density = 9.1 g/cm3

CIF file:
```
data_HoPuPaO6
_chemical_formula_sum 'Ho2 Pu2 Pa2 O12'
_space_group_name_H-M_alt 'P -3 1 c'
_space_group_IT_number 163
_space_group_name_Hall '-P 3 2c'
_cell_length_a 5.7296
_cell_length_b 5.7296
_cell_length_c 9.4967
_cell_angle_alpha 90.00
_cell_angle_beta 90.00
_cell_angle_gamma 120.00
loop_
_atom_site_label
_atom_site_fract_x
_atom_site_fract_y
_atom_site_fract_z
Ho1 0.3333 0.6667 0.2500
Pu1 0.3333 0.6667 0.7500
Pa1 0.0000 0.0000 0.0000
O1 0.0065 0.3272 0.6283
```

=====

# 6
The following is a PBE calculation of a relaxed Rb2HoPa3O12 crystal, from Alexandria via LeMat-Bulk.

## Properties
Formation energy from raw total energies = -48.6 eV per formula unit
Total energy = -7.9512 eV per atom
D(E_F) = 47.259 states/eV per cell
Spin magnetization = 0.17 μB/atom
Calculated density = 5.3 g/cm3

CIF file:
```
data_Rb2HoPa3O12
_chemical_formula_sum 'Rb6 Ho3 Pa9 O36'
_space_group_name_H-M_alt 'R -3 m'
_space_group_IT_number 166
_space_group_name_Hall '-R 3 2"'
_cell_length_a 8.2515
_cell_length_b 8.2515
_cell_length_c 19.3750
_cell_angle_alpha 90.00
_cell_angle_beta 90.00
_cell_angle_gamma 120.00
loop_
_atom_site_label
_atom_site_fract_x
_atom_site_fract_y
_atom_site_fract_z
Rb1 0.0000 0.0000 0.1633
Ho1 0.0000 0.0000 0.5000
Pa1 0.0000 0.5000 0.0000
O1 0.0722 0.5361 0.1022
O2 0.0946 0.5473 0.3579
```

=====

# 7
The following is a PBE calculation of a relaxed HoPaRuO6 crystal, from Alexandria via LeMat-Bulk.

## Properties
Formation energy from raw total energies = -23.8 eV per formula unit
Total energy = -8.5396 eV per atom
D(E_F) = 11.202 states/eV per cell
Spin magnetization = 0.22 μB/atom
Calculated density = 7.9 g/cm3

CIF file:
```
data_HoPaRuO6
_chemical_formula_sum 'Ho2 Pa2 Ru2 O12'
_space_group_name_H-M_alt 'P -3 1 c'
_space_group_IT_number 163
_space_group_name_Hall '-P 3 2c'
_cell_length_a 5.4456
_cell_length_b 5.4456
_cell_length_c 9.7593
_cell_angle_alpha 90.00
_cell_angle_beta 90.00
_cell_angle_gamma 120.00
loop_
_atom_site_label
_atom_site_fract_x
_atom_site_fract_y
_atom_site_fract_z
Ho1 0.0000 0.0000 0.0000
Pa1 0.3333 0.6667 0.2500
Ru1 0.3333 0.6667 0.7500
O1 0.0234 0.3556 0.6350
```

=====

# 8
The following is a PBE calculation of a relaxed HoPaSb2O8 crystal, from Alexandria via LeMat-Bulk.

## Properties
Formation energy from raw total energies = -27.9 eV per formula unit
Total energy = -7.4938 eV per atom
Spin magnetization = 0.00 μB/atom
Calculated density = 6.9 g/cm3

CIF file:
```
data_HoPaSb2O8
_chemical_formula_sum 'Ho2 Pa2 Sb4 O16'
_space_group_name_H-M_alt 'I -4 m 2'
_space_group_IT_number 119
_space_group_name_Hall 'I -4 -2'
_cell_length_a 7.194
_cell_length_b 7.194
_cell_length_c 7.158
_cell_angle_alpha 90.00
_cell_angle_beta 90.00
_cell_angle_gamma 90.00
loop_
_atom_site_label
_atom_site_fract_x
_atom_site_fract_y
_atom_site_fract_z
Ho1 0.000 0.000 0.000
Pa1 0.000 0.500 0.750
Sb1 0.000 0.000 0.500
Sb2 0.000 0.500 0.250
O1 0.000 0.201 0.718
O2 0.000 0.314 0.060
```

=====

Copy entry 7 word for word.
The following is a PBE calculation of a relaxed HoPaRuO6 crystal, from Alexandria via LeMat-Bulk.

## Properties
Formation energy from raw total energies = -23.8 eV per formula unit
Total energy = -8.5396 eV per atom
D(E_F) = 11.202 states/eV per cell
Spin magnetization = 0.22 μB/atom
Calculated density = 7.9 g/cm3

CIF file:
```
data_HoPaRuO6
_chemical_formula_sum 'Ho2 Pa2 Ru2 O12'
_space_group_name_H-M_alt 'P -3 1 c'
_space_group_IT_number 163
_space_group_name_Hall '-P 3 2c'
_cell_length_a 5.4456
_cell_length_b 5.4456
_cell_length_c 9.7593
_cell_angle_alpha 90.00
_cell_angle_beta 90.00
_cell_angle_gamma 120.00
loop_
_atom_site_label
_atom_site_fract_x
_atom_site_fract_y
_atom_site_fract_z
Ho1 0.0000 0.0000 0.0000
Pa1 0.3333 0.6667 0.2500
Ru1 0.3333 0.6667 0.7500
O1 0.0234 0.3556 0.6350
```

=====

Q: What is the formation energy from raw total energies in the sixth record?
A: -48.6 eV per formula unit

=====

Q: Among the records above, which one has the highest calculated density?
A: HoPaO4